## Nd4SmEr7 (PBE-GGA)

Data for a relaxed Nd4SmEr7 crystal.

Cell and atoms, written as CIF:
```
data_Nd4SmEr7
_chemical_formula_sum 'Nd8 Sm2 Er14'
_space_group_name_H-M_alt 'C 1 2/m 1'
_space_group_IT_number 12
_cell_length_a 12.1177
_cell_length_b 5.8884
_cell_length_c 12.7863
_cell_angle_alpha 90.00
_cell_angle_beta 117.92
_cell_angle_gamma 90.00
loop_
_space_group_symop_operation_xyz
'x,y,z'
'-x,-y,-z'
'-x,y,-z'
'x,-y,z'
'x+1/2,y+1/2,z'
'-x+1/2,-y+1/2,-z'
'-x+1/2,y+1/2,-z'
'x+1/2,-y+1/2,z'
loop_
_atom_site_label
_atom_site_type_symbol
_atom_site_fract_x
_atom_site_fract_y
_atom_site_fract_z
Nd1 Nd 0.1370 0.0000 0.2770
Nd2 Nd 0.2231 0.5000 0.1664
Sm1 Sm 0.0000 0.5000 0.5000
Er1 Er 0.0000 0.0000 0.5000
Er2 Er 0.0692 0.5000 0.8136
Er3 Er 0.1323 0.0000 0.9952
Er4 Er 0.2110 0.5000 0.4233
```

VASP energy: -105.18 eV for the cell shown
E_form: 261.8 meV/atom
Volume: 33.6 Å³/atom
Fermi-level density of states: 19.7 states/eV/f.u.